{"formula": "SrCo4P4", "functional": "PBE", "state": "optimized geometry", "formation_energy_ev_per_atom": -0.582, "lattice": [[-3.846, 3.846, 2.175], [3.846, -3.846, 2.175], [3.846, 3.846, -2.175]], "species": ["Sr", "Co", "Co", "Co", "Co", "P", "P", "P", "P"], "frac_coords": [[0.000, 0.000, 0.000], [0.119, 0.617, 0.736], [0.383, 0.119, 0.501], [0.617, 0.881, 0.499], [0.881, 0.383, 0.264], [0.193, 0.341, 0.534], [0.341, 0.807, 0.149], [0.659, 0.193, 0.851], [0.807, 0.659, 0.466]]}